(1)
# Fe2HOs PBE-GGA relaxed
# Space group: Fm-3m, No. 225
# Crystal system: cubic
# E above lowest polymorph (meV/atom): 760
data_Fe2HOs
_symmetry_space_group_name_H-M 'P 1'
_symmetry_Int_Tables_number 1
_symmetry_space_group_name_Hall 'P 1'
_cell_length_a 3.919
_cell_length_b 3.919
_cell_length_c 3.919
_cell_angle_alpha 60.00
_cell_angle_beta 60.00
_cell_angle_gamma 60.00
loop_
_atom_site_label
_atom_site_type_symbol
_atom_site_fract_x
_atom_site_fract_y
_atom_site_fract_z
_atom_site_occupancy
Fe1 Fe 0.250 0.250 0.250 1
Fe2 Fe 0.750 0.750 0.750 1
Os1 Os 0.500 0.500 0.500 1
H1 H 0.000 0.000 0.000 1


(2)
# Sr3Al2RuO8 PBE-GGA relaxed
# Space group: P-3m1, No. 164
# Crystal system: trigonal
# Formation energy without anion corrections (eV per atom): -2.46
data_Sr3Al2RuO8
_symmetry_space_group_name_H-M 'P 1'
_symmetry_Int_Tables_number 1
_symmetry_space_group_name_Hall 'P 1'
_cell_length_a 5.553
_cell_length_b 5.553
_cell_length_c 7.090
_cell_angle_alpha 90.00
_cell_angle_beta 90.00
_cell_angle_gamma 120.00
loop_
_atom_site_label
_atom_site_type_symbol
_atom_site_fract_x
_atom_site_fract_y
_atom_site_fract_z
_atom_site_occupancy
Al1 Al 0.667 0.333 0.784 1
Al2 Al 0.333 0.667 0.216 1
Sr1 Sr 0.667 0.333 0.345 1
Sr2 Sr 0.333 0.667 0.655 1
Sr3 Sr 0.000 0.000 0.000 1
O1 O 0.332 0.166 0.674 1
O2 O 0.333 0.667 0.976 1
O3 O 0.166 0.834 0.326 1
O4 O 0.166 0.332 0.326 1
O5 O 0.834 0.668 0.674 1
O6 O 0.667 0.333 0.024 1
O7 O 0.834 0.166 0.674 1
O8 O 0.668 0.834 0.326 1
Ru1 Ru 0.000 0.000 0.500 1


(3)
# AcNd5S8 PBE-GGA relaxed
# Space group: I-4, No. 82
# Crystal system: tetragonal
# Formation energy without anion corrections (eV per atom): -2.03
data_AcNd5S8
_symmetry_space_group_name_H-M 'P 1'
_symmetry_Int_Tables_number 1
_symmetry_space_group_name_Hall 'P 1'
_cell_length_a 7.518
_cell_length_b 7.518
_cell_length_c 7.518
_cell_angle_alpha 109.71
_cell_angle_beta 108.99
_cell_angle_gamma 109.71
loop_
_atom_site_label
_atom_site_type_symbol
_atom_site_fract_x
_atom_site_fract_y
_atom_site_fract_z
_atom_site_occupancy
Nd1 Nd 0.376 0.137 0.014 1
Nd2 Nd 0.500 0.000 0.500 1
Nd3 Nd 0.877 0.863 0.239 1
Nd4 Nd 0.986 0.362 0.123 1
Nd5 Nd 0.761 0.638 0.624 1
S1 S 0.274 0.249 0.369 1
S2 S 0.627 0.393 0.874 1
S3 S 0.120 0.751 0.025 1
S4 S 0.631 0.905 0.880 1
S5 S 0.126 0.753 0.519 1
S6 S 0.481 0.607 0.234 1
S7 S 0.975 0.095 0.726 1
S8 S 0.766 0.247 0.373 1
Ac1 Ac 0.250 0.500 0.750 1


(4)
# AcPd3S PBE-GGA relaxed
# Space group: Pm-3m, No. 221
# Crystal system: cubic
# Formation energy without anion corrections (eV per atom): -0.63
# E above lowest polymorph (meV/atom): 148
data_AcPd3S
_symmetry_space_group_name_H-M 'P 1'
_symmetry_Int_Tables_number 1
_symmetry_space_group_name_Hall 'P 1'
_cell_length_a 4.711
_cell_length_b 4.711
_cell_length_c 4.711
_cell_angle_alpha 90.00
_cell_angle_beta 90.00
_cell_angle_gamma 90.00
loop_
_atom_site_label
_atom_site_type_symbol
_atom_site_fract_x
_atom_site_fract_y
_atom_site_fract_z
_atom_site_occupancy
Pd1 Pd 0.500 0.000 0.000 1
Pd2 Pd 0.000 0.000 0.500 1
Pd3 Pd 0.000 0.500 0.000 1
Ac1 Ac 0.500 0.500 0.500 1
S1 S 0.000 0.000 0.000 1


| no. | E_tot (Ha/atom) |
| --- | --- |
| 1 | -0.259 |
| 2 | -0.252 |
| 3 | -0.234 |
| 4 | -0.198 |